No. 1
CrCo2H2, optimized geometry, DFT PBE-GGA; crystal system = tetragonal; DFT total energy = -5.88 eV per atom
1.0
5.466 0.000 0.000
0.000 5.466 0.000
0.000 0.000 2.586
Cr Co H
2 4 4
Cartesian
0.000 0.000 0.000 Cr
2.733 2.733 0.000 Cr
0.822 1.911 1.293 Co
1.911 4.644 1.293 Co
3.556 0.822 1.293 Co
4.644 3.556 1.293 Co
1.124 3.857 0.000 H
1.609 1.124 0.000 H
3.857 4.342 0.000 H
4.342 1.609 0.000 H

***

No. 2
ZnCu5Ni, optimized geometry, DFT PBE-GGA; energy of formation from the pure elements = -3 kJ per mole of atoms; crystal system = triclinic
1.0
3.625 0.000 0.000
1.797 4.097 0.000
0.024 0.740 5.665
Zn Cu Ni
1 5 1
Cartesian
0.000 0.000 0.000 Zn
1.814 3.230 2.454 Cu
1.826 2.375 4.845 Cu
1.820 0.803 1.675 Cu
3.630 4.014 4.043 Cu
3.623 2.433 0.853 Cu
3.635 1.580 3.256 Ni

***

No. 3
Re2SiIF, optimized geometry, DFT PBE-GGA; formation energy (no corrections) = 1577 meV/atom; crystal system = tetragonal
1.0
4.412 0.000 0.000
0.000 4.412 0.000
0.000 0.000 4.283
Re Si I F
2 1 1 1
Cartesian
0.000 2.206 0.000 Re
2.206 0.000 0.000 Re
0.000 0.000 2.142 Si
2.206 2.206 2.142 I
0.000 0.000 0.000 F

***

No. 4
SrCoN3, optimized geometry, DFT PBE-GGA; formation energy (no corrections) = 662 meV/atom; crystal system = cubic
1.0
3.822 0.000 0.000
0.000 3.822 0.000
0.000 0.000 3.822
Sr Co N
1 1 3
Cartesian
0.000 0.000 0.000 Sr
1.911 1.911 1.911 Co
0.000 1.911 1.911 N
1.911 0.000 1.911 N
1.911 1.911 0.000 N

***

No. 5
BaPr2ReO8, optimized geometry, DFT PBE-GGA; formation energy (no corrections) = -2425 meV/atom; crystal system = monoclinic
1.0
4.587 0.000 0.000
0.000 5.333 0.000
-2.174 0.000 6.965
Ba Pr Re O
1 2 1 8
Cartesian
0.000 0.000 0.000 Ba
0.224 2.666 4.970 Pr
2.188 2.666 1.996 Pr
-1.087 0.000 3.483 Re
-0.002 1.356 2.727 O
-0.002 3.977 2.727 O
-1.062 2.666 6.920 O
-0.052 0.000 5.106 O
2.464 0.000 1.860 O
3.474 2.666 0.045 O
2.414 1.356 4.238 O
2.414 3.977 4.238 O

***

No. 6
TmTlRh2, optimized geometry, DFT PBE-GGA; energy of formation from the pure elements = -48 kJ per mole of atoms; crystal system = tetragonal
1.0
3.407 0.000 0.000
0.000 3.407 0.000
0.000 0.000 6.404
Tm Tl Rh
1 1 2
Cartesian
0.000 0.000 0.000 Tm
0.000 0.000 3.202 Tl
1.703 1.703 1.613 Rh
1.703 1.703 4.791 Rh

***

No. 7
BeCdCo, optimized geometry, DFT PBE-GGA; energy of formation from the pure elements = 30 kJ per mole of atoms; crystal system = trigonal
1.0
3.904 0.000 0.000
-1.952 3.381 0.000
0.000 0.000 2.962
Be Cd Co
1 1 1
Cartesian
0.000 0.000 0.000 Be
1.952 1.127 1.452 Cd
0.000 2.254 2.928 Co

***

No. 8
AcSm2Ir, optimized geometry, DFT PBE-GGA; energy of formation from the pure elements = -29 kJ per mole of atoms; crystal system = tetragonal
1.0
3.634 0.000 0.000
0.000 3.634 0.000
0.000 0.000 9.295
Ac Sm Ir
1 2 1
Cartesian
0.000 0.000 0.000 Ac
1.817 1.817 3.032 Sm
1.817 1.817 6.263 Sm
0.000 0.000 4.647 Ir

***

No. 9
CuNi2Ir, optimized geometry, DFT PBE-GGA; energy of formation from the pure elements = 11 kJ per mole of atoms; crystal system = orthorhombic
1.0
-1.337 2.147 4.260
1.337 -2.147 4.260
1.337 2.147 -4.260
Cu Ni Ir
1 2 1
Cartesian
0.000 0.000 0.000 Cu
0.000 0.000 4.388 Ni
0.000 2.147 2.154 Ni
1.337 0.000 2.262 Ir

***

No. 10
TmBeF6, optimized geometry, DFT PBE-GGA; formation energy (no corrections) = -3030 meV/atom; crystal system = monoclinic
1.0
2.601 -3.483 0.000
2.601 3.483 0.000
-0.831 0.000 4.671
Tm Be F
1 1 6
Cartesian
0.000 0.000 0.000 Tm
2.186 0.000 2.336 Be
1.584 1.153 1.122 F
0.654 0.000 3.097 F
2.788 1.153 3.549 F
1.584 -1.153 1.122 F
3.717 0.000 1.574 F
2.788 -1.153 3.549 F

***

No. 11
ScSeN2O, optimized geometry, DFT PBE-GGA; formation energy (no corrections) = 600 meV/atom; crystal system = tetragonal
1.0
4.362 0.000 0.000
0.000 4.362 0.000
0.000 0.000 3.919
Sc Se N O
1 1 2 1
Cartesian
0.000 0.000 0.000 Sc
2.181 2.181 1.960 Se
0.000 2.181 0.000 N
2.181 0.000 0.000 N
0.000 0.000 1.960 O

***

No. 12
Ga2TcHg, optimized geometry, DFT PBE-GGA; energy of formation from the pure elements = 7 kJ per mole of atoms; crystal system = tetragonal
1.0
3.363 0.000 0.000
0.000 3.363 0.000
0.000 0.000 5.996
Ga Tc Hg
2 1 1
Cartesian
0.000 0.000 1.271 Ga
0.000 0.000 4.725 Ga
1.681 1.681 0.000 Tc
1.681 1.681 2.998 Hg